No. 1
Compound: Zr2TaAl
Source: the Alexandria database
Functional: PBE
Structure: relaxed

Lattice parameters (Å, degrees): 3.029 3.029 8.787 90.00 90.00 91.93
Fractional coordinates of all 4 atoms:
Al 0.500 0.500 0.250
Zr 0.000 0.000 0.007
Zr 0.000 0.000 0.493
Ta 0.500 0.500 0.750

Symmetry ... Cmmm
Energy of formation ... -0.43 eV/f.u.
Crystal system ... orthorhombic


No. 2
Compound: Sc2InW
Source: the Alexandria database
Functional: PBE
Structure: relaxed

Lattice parameters (Å, degrees): 5.380 5.380 5.380 133.62 133.62 67.69
Fractional coordinates of all 4 atoms:
In 0.750 0.250 0.500
Sc 0.000 0.000 0.000
Sc 0.250 0.750 0.500
W 0.500 0.500 0.000

Symmetry ... I-4m2
Energy of formation ... 0.29 eV/f.u.
Crystal system ... tetragonal


No. 3
Compound: MnTlAg2
Source: the Alexandria database
Functional: PBE
Structure: relaxed

Lattice parameters (Å, degrees): 4.014 4.014 10.604 79.09 79.09 90.00
Fractional coordinates of all 8 atoms:
Tl 0.000 0.000 0.000
Tl 0.750 0.250 0.500
Mn 0.500 0.500 0.000
Mn 0.250 0.750 0.500
Ag 0.617 0.125 0.250
Ag 0.133 0.625 0.250
Ag 0.375 0.383 0.750
Ag 0.875 0.867 0.750

Symmetry ... I-42d
Energy of formation ... 1.74 eV/f.u.
Crystal system ... tetragonal


No. 4
Compound: CsGa3Te
Source: the Alexandria database
Functional: PBE
Structure: relaxed

Lattice parameters (Å, degrees): 6.106 6.106 6.106 90.00 90.00 90.00
Fractional coordinates of all 5 atoms:
Cs 0.000 0.000 0.000
Te 0.500 0.500 0.500
Ga 0.000 0.500 0.000
Ga 0.000 0.000 0.500
Ga 0.500 0.000 0.000

Symmetry ... Pm-3m
Raw formation energy ... 100.1 kJ/mol of atoms
Crystal system ... cubic


No. 5
Compound: SiSbH
Source: the Alexandria database
Functional: PBE
Structure: relaxed

Lattice parameters (Å, degrees): 5.718 7.406 9.893 67.77 73.38 67.26
Fractional coordinates of all 18 atoms:
Sb 0.790 0.640 0.284
Sb 0.124 0.129 0.113
Sb 0.632 0.629 0.613
Sb 0.407 0.283 0.389
Sb 0.921 0.783 0.889
Sb 0.288 0.140 0.783
Si 0.292 0.707 0.237
Si 0.510 0.203 0.138
Si 0.147 0.703 0.638
Si 0.913 0.236 0.371
Si 0.481 0.736 0.872
Si 0.767 0.207 0.737
H 0.729 0.006 0.141
H 0.384 0.676 0.075
H 0.049 0.870 0.502
H 0.124 0.505 0.642
H 0.866 0.176 0.575
H 0.575 0.371 0.002

Symmetry ... P1
Crystal system ... triclinic


No. 6
Compound: Ba2NaAgHg6
Source: the Alexandria database
Functional: PBE
Structure: relaxed

Lattice parameters (Å, degrees): 7.809 7.809 7.809 60.00 60.00 90.00
Fractional coordinates of all 10 atoms:
Ba 0.250 0.750 0.500
Ba 0.750 0.250 0.500
Na 0.500 0.500 0.000
Ag 0.000 0.000 0.000
Hg 0.249 0.751 0.000
Hg 0.751 0.751 0.000
Hg 0.249 0.249 0.503
Hg 0.751 0.249 0.000
Hg 0.249 0.249 0.000
Hg 0.751 0.751 0.497

Symmetry ... Fm-3m
Energy of formation ... -1.67 eV/f.u.
Crystal system ... cubic


No. 7
Compound: CsInSe2
Source: the Alexandria database
Functional: PBE
Structure: relaxed

Lattice parameters (Å, degrees): 4.525 4.525 6.678 90.00 90.00 90.00
Fractional coordinates of all 4 atoms:
Cs 0.500 0.500 0.000
Se 0.500 0.500 0.500
Se 0.000 0.000 0.000
In 0.000 0.000 0.500

Symmetry ... P4/mmm
Raw formation energy ... -22.6 kJ/mol of atoms
Crystal system ... tetragonal


No. 8
Compound: K2PuSc2O6
Source: the Alexandria database
Functional: PBE
Structure: relaxed

Lattice parameters (Å, degrees): 5.723 5.723 6.642 98.66 98.66 120.13
Fractional coordinates of all 11 atoms:
K 0.830 0.170 0.000
K 0.170 0.830 0.000
Pu 0.000 0.000 0.500
Sc 0.334 0.666 0.500
Sc 0.666 0.334 0.500
O 0.723 0.723 0.669
O 0.053 0.400 0.670
O 0.277 0.277 0.331
O 0.400 0.053 0.670
O 0.947 0.600 0.330
O 0.600 0.947 0.330

Symmetry ... C2/m
Raw formation energy ... -272.9 kJ/mol of atoms
Crystal system ... monoclinic


Uncorrected energy list, top to bottom, in eV/atom: -8.28 -7.02 -3.87 -1.58 -3.99 -1.15 -2.87 -8.19